The following is a DFT calculation (GGA-PBEsol) of a relaxed Sc2BiSb crystal.

POSCAR file:
```
Sc2BiSb
1.0
-2.174 -1.112 4.499
2.903 -1.475 3.950
0.656 3.124 4.002
Sc Sb Bi
2 1 1
Direct
0.250 0.250 0.250 Sc
0.750 0.750 0.750 Sc
0.000 0.000 0.000 Sb
0.500 0.500 0.500 Bi
```

Results
* space group: Fm-3m (225)
* E_form (uncorrected): -0.57 eV/atom

---

The following is a DFT calculation (GGA-PBEsol) of a relaxed BiSb2Se2 crystal.

POSCAR file:
```
BiSb2Se2
1.0
-1.987 1.131 -4.266
-4.401 -0.154 2.009
3.598 5.191 2.447
Sb Bi Se
2 1 2
Direct
0.372 0.372 0.744 Sb
0.628 0.628 0.256 Sb
0.000 0.000 0.000 Bi
0.250 0.750 0.500 Se
0.750 0.250 0.500 Se
```

Results
* space group: I4/mmm (139)
* E_form (uncorrected): 0.19 eV/atom

---

The following is a DFT calculation (GGA-PBEsol) of a relaxed BiSbSe3 crystal.

POSCAR file:
```
BiSbSe3
1.0
4.044 0.000 0.000
0.000 11.434 0.000
0.000 0.000 11.608
Bi Sb Se
4 4 12
Direct
0.250 0.169 0.503 Bi
0.250 0.331 0.003 Bi
0.750 0.831 0.497 Bi
0.750 0.669 0.997 Bi
0.750 0.459 0.654 Sb
0.750 0.041 0.154 Sb
0.250 0.541 0.346 Sb
0.250 0.959 0.846 Sb
0.750 0.056 0.630 Se
0.750 0.444 0.130 Se
0.250 0.944 0.370 Se
0.250 0.556 0.870 Se
0.250 0.304 0.714 Se
0.250 0.196 0.214 Se
0.750 0.696 0.286 Se
0.750 0.804 0.786 Se
0.250 0.629 0.556 Se
0.250 0.871 0.056 Se
0.750 0.371 0.444 Se
0.750 0.129 0.944 Se
```

Results
* space group: Pnma (62)
* E_form (uncorrected): -0.31 eV/atom

---

The following is a DFT calculation (GGA-PBEsol) of a relaxed BiSbSe3 crystal.

POSCAR file:
```
BiSbSe3
1.0
5.348 0.000 0.000
0.000 5.348 0.000
0.000 0.000 5.348
Sb Bi Se
1 1 3
Direct
0.500 0.500 0.500 Sb
0.000 0.000 0.000 Bi
0.000 0.500 0.000 Se
0.000 0.000 0.500 Se
0.500 0.000 0.000 Se
```

Results
* space group: Pm-3m (221)
* E_form (uncorrected): 0.57 eV/atom

---

The following is a DFT calculation (GGA-PBEsol) of a relaxed Bi3SbSe crystal.

POSCAR file:
```
Bi3SbSe
1.0
5.471 0.000 0.000
0.000 5.471 0.000
0.000 0.000 5.471
Sb Bi Se
1 3 1
Direct
0.500 0.500 0.500 Sb
0.000 0.500 0.000 Bi
0.000 0.000 0.500 Bi
0.500 0.000 0.000 Bi
0.000 0.000 0.000 Se
```

Results
* space group: Pm-3m (221)
* E_form (uncorrected): 0.54 eV/atom

---

The following is a DFT calculation (GGA-PBEsol) of a relaxed SiBiSb2 crystal.

POSCAR file:
```
SiBiSb2
1.0
-5.094 -1.036 -0.073
-1.706 -4.746 1.262
-2.567 -0.739 4.460
Sb Si Bi
2 1 1
Direct
0.250 0.250 0.250 Sb
0.750 0.750 0.750 Sb
0.000 0.000 0.000 Si
0.500 0.500 0.500 Bi
```

Results
* space group: Fm-3m (225)
* E_form (uncorrected): 0.37 eV/atom